# CaLu2Rh (GGA-PBE, relaxed)
# Density of states at the Fermi level: 3.5 states/eV per cell
# E_tot: -5.05 eV per atom
# Energy of formation: -450 meV per atom
data_CaLu2Rh
_symmetry_space_group_name_H-M 'P 4/m m m'
_symmetry_Int_Tables_number 123
_symmetry_space_group_name_Hall '-P 4 2'
_cell_length_a 3.4348
_cell_length_b 3.4348
_cell_length_c 9.1781
_cell_angle_alpha 90.00
_cell_angle_beta 90.00
_cell_angle_gamma 90.00
loop_
_atom_site_label
_atom_site_type_symbol
_atom_site_fract_x
_atom_site_fract_y
_atom_site_fract_z
Ca1 Ca 0.0000 0.0000 0.0000
Lu1 Lu 0.5000 0.5000 0.3273
Rh1 Rh 0.0000 0.0000 0.5000